Compound: Na2LiVF6
Source: Alexandria
Functional: PBE with a Hubbard U
Structure: optimized geometry

Lattice parameters (Å, degrees): 5.4208 5.6167 9.4378 90.00 124.37 90.00
With the nearest neighbours (Å) after each atom.
Space group P2_1/c (No. 14)
Inequivalent atoms, fractional coordinates:
Na 0.2294 0.0568 0.2472 x4  6 F 2.31-2.56
Li 0.0000 0.0000 0.5000 x2  6 F 2.06-2.09
V 0.5000 0.0000 0.0000 x2  6 F 1.97-1.98
F 0.1566 0.1983 0.9502 x4  1 V 1.98, 1 Li 2.06
F 0.2534 0.7117 0.9448 x4  1 V 1.97, 1 Li 2.09
F 0.3584 0.0338 0.7566 x4  1 V 1.98, 1 Li 2.09

## Properties
- D(E_F): 0.00 states/eV/f.u.
- Volume: 237.2 Å³/cell
- Final energy: -5.21 eV per atom
- Distance to the lowest polymorph of the same formula: 0 meV/atom